{
  "formula": "Nb2CdCoO",
  "functional": "PBE with a Hubbard U",
  "state": "optimized geometry",
  "space_group": "P4/mmm, No. 123",
  "dos_at_fermi_per_ev_cell": 3.8,
  "magmom_total_mub_per_fu": 1.97,
  "total_energy_ev_per_fu": -22.4,
  "cell": [[-4.8152, 1.2071, 1.5754], [0.2825, -2.5982, 2.8543], [1.9479, 3.6663, 3.1445]],
  "species": ["Nb", "Nb", "Co", "O", "Cd"],
  "fractional_positions": [[0.0000, 0.0000, 0.5000], [0.5000, 0.0000, 0.0000], [0.5000, 0.5000, 0.5000], [0.0000, 0.5000, 0.0000], [0.0000, 0.0000, 0.0000]]
}